Model i:
The following is a DFT calculation (PBE) of an optimized crystal structure of Sb2P.

Output
**Fermi-level density of states**: 3.75 states/eV/cell

Cell lengths 5.6314, 5.6447, 9.4609 Å; angles 90.00, 90.00, 90.00 degrees
With the nearest neighbours (Å) after each atom.
Space group Pnma (No. 62)
Unique sites:
Sb (0.0048, 0.2500, 0.0756) [4 per cell]  2 P 2.61-2.84
Sb (0.0167, 0.2500, 0.6701) [4 per cell]  3 P 2.82-2.86
P (0.0401, 0.7500, 0.6258) [4 per cell]  5 Sb 2.61-2.86

Model ii:
The following is a DFT calculation (PBE) of an optimized crystal structure of Sb2P.

Output
**Fermi-level density of states**: 2.80 states/eV/cell

Cell lengths 5.5217, 7.5307, 3.6775 Å; angles 90.00, 90.00, 90.00 degrees
With the nearest neighbours (Å) after each atom.
Space group Pnnm (No. 58)
Unique sites:
Sb (0.1830, 0.1468, 0.0000) [4 per cell]  3 P 2.77-2.85, 1 Sb 3.00
P (0.0000, 0.5000, 0.0000) [2 per cell]  6 Sb 2.77-2.85

Model iii:
The following is a DFT calculation (PBE) of an optimized crystal structure of Sb2P.

Output
**Fermi-level density of states**: 5.10 states/eV/cell

Cell lengths 11.9547, 3.9529, 8.6680 Å; angles 90.00, 131.71, 90.00 degrees
With the nearest neighbours (Å) after each atom.
Space group C2/m (No. 12)
Unique sites:
Sb (0.0610, 0.0000, 0.3630) [4 per cell]  3 P 2.59-2.81
Sb (0.1345, 0.5000, 0.0234) [4 per cell]  2 P 2.83, 1 Sb 2.96
P (0.2369, 0.5000, 0.6665) [4 per cell]  5 Sb 2.59-2.83

Model iv:
The following is a DFT calculation (PBE) of an optimized crystal structure of Sb2P.

Output
**Fermi-level density of states**: 4.77 states/eV/cell

Cell lengths 3.7183, 3.7183, 12.2420 Å; angles 90.00, 90.00, 120.00 degrees
With the nearest neighbours (Å) after each atom.
Space group P6_3/mmc (No. 194)
Unique sites:
Sb (0.3333, 0.6667, 0.1009) [4 per cell]  3 P 2.82
P (0.0000, 0.0000, 0.2500) [2 per cell]  6 Sb 2.82

Of them, model iii has the highest stability.

Model i:
The following is a DFT calculation (PBE) of an optimized crystal structure of Sb2P.

Output
**Fermi-level density of states**: 7.72 states/eV/cell

Cell lengths 3.5861, 3.5861, 23.3147 Å; angles 90.00, 90.00, 90.00 degrees
With the nearest neighbours (Å) after each atom.
Space group I4_1/amd (No. 141, origin choice 2)
Unique sites:
Sb (0.0000, 0.2500, 0.3103) [8 per cell]  4 P 2.95, 1 Sb 3.02
P (0.0000, 0.2500, 0.8750) [4 per cell]  8 Sb 2.95

Model ii:
The following is a DFT calculation (PBE) of an optimized crystal structure of Sb2P.

Output
**Fermi-level density of states**: 5.30 states/eV/cell

Cell lengths 6.7866, 6.7866, 6.7866 Å; angles 90.00, 90.00, 90.00 degrees
With the nearest neighbours (Å) after each atom.
Space group Fm-3m (No. 225)
Unique sites:
Sb (0.2500, 0.2500, 0.2500) [8 per cell]  4 P 2.94
P (0.0000, 0.0000, 0.0000) [4 per cell]  8 Sb 2.94

Of them, model i has the highest stability.

Model i:
The following is a DFT calculation (PBE) of an optimized crystal structure of Sb5P.

Output
**Fermi-level density of states**: 4.57 states/eV/cell

Cell lengths 12.9179, 4.2279, 6.2156 Å; angles 90.00, 90.11, 90.00 degrees
With the nearest neighbours (Å) after each atom.
Space group Cm (No. 8)
Unique sites:
Sb (0.0000, 0.0000, 0.0000) [2 per cell]  2 P 2.93, 4 Sb 2.98-3.24
Sb (0.0084, 0.0000, 0.4793) [2 per cell]  6 Sb 2.98-3.24
Sb (0.1760, 0.5000, 0.5083) [2 per cell]  6 Sb 2.99-3.23
Sb (0.1844, 0.5000, 0.9893) [2 per cell]  2 P 2.95, 4 Sb 2.99-3.23
Sb (0.3436, 0.0000, 0.5529) [2 per cell]  1 P 2.62
P (0.3438, 0.0000, 0.9742) [2 per cell]  3 Sb 2.62-2.93

Model ii:
The following is a DFT calculation (PBE) of an optimized crystal structure of Sb5P.

Output
**Fermi-level density of states**: 4.60 states/eV/cell

Cell lengths 3.7972, 17.5057, 4.8675 Å; angles 90.00, 90.00, 90.00 degrees
With the nearest neighbours (Å) after each atom.
Space group Cmmm (No. 65)
Unique sites:
Sb (0.0000, 0.0000, 0.0000) [2 per cell]  4 P 3.09, 4 Sb 3.24
Sb (0.0000, 0.1224, 0.5000) [4 per cell]  2 P 2.86
Sb (0.0000, 0.3144, 0.0000) [4 per cell]  6 Sb 2.95-3.28
P (0.0000, 0.5000, 0.5000) [2 per cell]  8 Sb 2.86-3.09

Of them, model i has the highest stability.

Model i:
The following is a DFT calculation (PBE) of an optimized crystal structure of Sb4P5.

Output
**Fermi-level density of states**: 11.44 states/eV/cell

Cell lengths 7.8977, 7.8977, 7.2092 Å; angles 90.00, 90.00, 120.00 degrees
With the nearest neighbours (Å) after each atom.
Space group P6_3/mcm (No. 193)
Unique sites:
Sb (0.0000, 0.0000, 0.0000) [2 per cell]  6 P 2.66
Sb (0.0000, 0.4169, 0.2500) [6 per cell]  3 P 2.65-2.87
P (0.0000, 0.2481, 0.7500) [6 per cell]  5 Sb 2.65-2.87
P (0.3333, 0.6667, 0.0000) [4 per cell]  6 Sb 2.98

Model ii:
The following is a DFT calculation (PBE) of an optimized crystal structure of Sb4P5.

Output
**Fermi-level density of states**: 11.15 states/eV/cell

Cell lengths 12.1745, 12.1745, 3.1945 Å; angles 90.00, 90.00, 90.00 degrees
With the nearest neighbours (Å) after each atom.
Space group I4/mmm (No. 139)
Unique sites:
Sb (0.0000, 0.2253, 0.0000) [8 per cell]  5 P 2.74-2.97
P (0.0000, 0.0000, 0.0000) [2 per cell]  4 Sb 2.74
P (0.2042, 0.2042, 0.5000) [8 per cell]  2 P 2.24

Of them, model ii has the highest stability.

Model i:
The following is a DFT calculation (PBE) of an optimized crystal structure of Sc6Sb2P.

Output
**Fermi-level density of states**: 26.73 states/eV/cell

Cell lengths 6.3062, 6.3062, 12.4625 Å; angles 90.00, 90.00, 90.00 degrees
With the nearest neighbours (Å) after each atom.
Space group P4_2/mnm (No. 136)
Unique sites:
Sc (0.1926, 0.1926, 0.1449) [8 per cell]  1 P 2.49, 1 Sb 2.76
Sc (0.2134, 0.2134, 0.5000) [4 per cell]  1 P 2.56
Sb (0.0000, 0.0000, 0.3270) [4 per cell]  6 Sc 2.76-2.88
P (0.0000, 0.0000, 0.0000) [2 per cell]  6 Sc 2.49-2.56

Model ii:
The following is a DFT calculation (PBE) of an optimized crystal structure of Sc6Sb2P.

Output
**Fermi-level density of states**: 13.92 states/eV/cell

Cell lengths 7.5894, 7.5894, 3.9036 Å; angles 90.00, 90.00, 120.00 degrees
With the nearest neighbours (Å) after each atom.
Space group P-62m (No. 189)
Unique sites:
Sc (0.0000, 0.3924, 0.0000) [3 per cell]  1 P 2.98, 4 Sb 3.05, 4 Sc 3.25
Sc (0.0000, 0.7596, 0.5000) [3 per cell]  2 P 2.67, 2 Sb 2.95
Sb (0.3333, 0.6667, 0.5000) [2 per cell]  9 Sc 2.95-3.05
P (0.0000, 0.0000, 0.0000) [1 per cell]  9 Sc 2.67-2.98

Of them, model ii has the highest stability.